(1)
The following is a DFT calculation (PBE-GGA) of a relaxed MgZnFe2N crystal.

a b c (Å): 4.726 4.726 3.704
angles (deg): 90.00 90.00 90.00
Space group P4/mmm (No. 123)
Unique sites:
Mg: 0.000 0.000 0.000 x1
Zn: 0.500 0.500 0.500 x1
Fe: 0.000 0.500 0.000 x2
N: 0.000 0.000 0.500 x1

Computed properties:
total energy	-4.132	eV per atom
total magnetic moment	5.9	μB/f.u.
formation energy from raw total energies	1492	meV per atom


(2)
The following is a DFT calculation (PBE-GGA) of a relaxed UPtW crystal.

a b c (Å): 3.301 3.486 9.183
angles (deg): 90.00 90.50 90.00
Space group P2_1/m (No. 11)
Unique sites:
U: 0.207 0.250 0.078 x2
Pt: 0.250 0.250 0.416 x2
W: 0.258 0.250 0.726 x2

Computed properties:
total energy	-10.099	eV per atom
total magnetic moment	0.0	μB/f.u.


(3)
The following is a DFT calculation (PBE-GGA) of a relaxed LiCaHBrF2 crystal.

a b c (Å): 3.931 3.932 6.740
angles (deg): 106.08 105.60 90.08
Space group P1 (No. 1)
Unique sites:
Li: 0.000 0.000 0.000 x1
Ca: 0.629 0.633 0.277 x1
H: 0.941 0.950 0.665 x1
Br: 0.246 0.255 0.536 x1
F: 0.042 0.544 0.091 x1
F: 0.542 0.044 0.090 x1

Computed properties:
total energy	-4.188	eV per atom
total magnetic moment	1.0	μB/f.u.
energy relative to the lowest polymorph listed for this composition	85	meV/atom


(4)
The following is a DFT calculation (PBE-GGA) of a relaxed AcErZr crystal.

a b c (Å): 3.514 3.514 15.449
angles (deg): 90.00 90.00 90.00
Space group I4mm (No. 107)
Unique sites:
Ac: 0.000 0.000 0.000 x2
Er: 0.000 0.000 0.693 x2
Zr: 0.000 0.000 0.332 x2

Computed properties:
total energy	-5.556	eV per atom
total magnetic moment	0.0	μB/f.u.
energy relative to the lowest polymorph listed for this composition	114	meV/atom


(5)
The following is a DFT calculation (PBE-GGA) of a relaxed ZnReNi crystal.

a b c (Å): 13.137 2.616 4.679
angles (deg): 90.00 97.11 90.00
Space group Cm (No. 8)
Unique sites:
Zn: 0.000 0.000 0.000 x2
Zn: 0.006 0.500 0.498 x2
Re: 0.176 0.500 0.900 x2
Re: 0.330 0.500 0.280 x2
Ni: 0.170 0.000 0.405 x2
Ni: 0.335 0.000 0.774 x2

Computed properties:
total energy	-6.465	eV per atom
total magnetic moment	0.0	μB/f.u.
energy relative to the lowest polymorph listed for this composition	37	meV/atom


(6)
The following is a DFT calculation (PBE-GGA) of a relaxed Ca2LaNi crystal.

a b c (Å): 3.614 3.614 9.453
angles (deg): 90.00 90.00 90.00
Space group P4mm (No. 99)
Unique sites:
Ca: 0.000 0.000 0.000 x1
Ca: 0.500 0.500 0.322 x1
La: 0.000 0.000 0.650 x1
Ni: 0.500 0.500 0.804 x1

Computed properties:
total energy	-3.760	eV per atom
total magnetic moment	0.0	μB/f.u.
energy relative to the lowest polymorph listed for this composition	38	meV/atom


Please write out number 3 again, unchanged.
The following is a DFT calculation (PBE-GGA) of a relaxed LiCaHBrF2 crystal.

a b c (Å): 3.931 3.932 6.740
angles (deg): 106.08 105.60 90.08
Space group P1 (No. 1)
Unique sites:
Li: 0.000 0.000 0.000 x1
Ca: 0.629 0.633 0.277 x1
H: 0.941 0.950 0.665 x1
Br: 0.246 0.255 0.536 x1
F: 0.042 0.544 0.091 x1
F: 0.542 0.044 0.090 x1

Computed properties:
total energy	-4.188	eV per atom
total magnetic moment	1.0	μB/f.u.
energy relative to the lowest polymorph listed for this composition	85	meV/atom


total magnetic moment of number 2 (UPtW)? 0.0 μB/f.u.